Entry 1:
Entry from Alexandria: a relaxed TbDy6Zn2 crystal (GGA-PBE). Values from VASP.

The structure in Quantum ESPRESSO input format:
```
&SYSTEM
  ibrav = 0, nat = 9, ntyp = 3
/
ATOMIC_SPECIES
Dy 162.50 Dy.upf
Tb 158.93 Tb.upf
Zn 65.41 Zn.upf
CELL_PARAMETERS angstrom
-3.061 -3.177 -1.874
-1.323 -1.328 4.412
-6.841 11.001 -1.345
ATOMIC_POSITIONS crystal
Dy 0.250 0.750 0.500
Dy 0.892 0.392 0.785
Dy 0.750 0.250 0.500
Dy 0.108 0.608 0.215
Dy 0.608 0.108 0.215
Dy 0.392 0.892 0.785
Tb 0.000 0.000 0.000
Zn 0.322 0.322 0.644
Zn 0.678 0.678 0.356
```

The energy above the most stable polymorph in this dataset is 406 meV per atom. The calculation puts the total energy at -32.43 eV per cell. Its crystal system is tetragonal. Its calculated volume is 289.0 Å³ per cell.

Entry 2:
Entry from Alexandria: a relaxed TbDyZn crystal (GGA-PBE). Values from VASP.

The structure in Quantum ESPRESSO input format:
```
&SYSTEM
  ibrav = 0, nat = 3, ntyp = 3
/
ATOMIC_SPECIES
Zn 65.41 Zn.upf
Dy 162.50 Dy.upf
Tb 158.93 Tb.upf
CELL_PARAMETERS angstrom
-3.533 3.119 1.521
-0.394 -2.220 -4.409
0.510 -4.410 2.186
ATOMIC_POSITIONS crystal
Zn 0.444 0.222 0.667
Dy 0.945 0.472 0.417
Tb 0.944 0.972 0.916
```

The energy above the most stable polymorph in this dataset is 238 meV per atom. The calculation puts the total energy at -10.43 eV per cell. Its crystal system is tetragonal. Its calculated volume is 85.9 Å³ per cell.

Entry 3:
Entry from Alexandria: a relaxed TbDy7Zn4 crystal (GGA-PBE). Values from VASP.

The structure in Quantum ESPRESSO input format:
```
&SYSTEM
  ibrav = 0, nat = 12, ntyp = 3
/
ATOMIC_SPECIES
Dy 162.50 Dy.upf
Zn 65.41 Zn.upf
Tb 158.93 Tb.upf
CELL_PARAMETERS angstrom
-0.624 -5.396 -1.003
7.574 -3.125 -3.109
3.089 -4.189 5.403
ATOMIC_POSITIONS crystal
Dy 0.277 0.673 0.773
Dy 0.209 0.120 0.463
Dy 0.929 0.406 0.736
Dy 0.723 0.327 0.227
Dy 0.791 0.880 0.537
Dy 0.071 0.594 0.264
Dy 0.500 0.000 0.000
Zn 0.459 0.731 0.350
Zn 0.541 0.269 0.650
Zn 0.321 0.338 0.019
Zn 0.679 0.662 0.981
Tb 0.000 0.000 0.000
```

The calculation puts the total energy at -41.92 eV per cell. Its crystal system is monoclinic. Its calculated volume is 313.4 Å³ per cell.

Entry 4:
Entry from Alexandria: a relaxed Tb2DyZn6 crystal (GGA-PBE). Values from VASP.

The structure in Quantum ESPRESSO input format:
```
&SYSTEM
  ibrav = 0, nat = 9, ntyp = 3
/
ATOMIC_SPECIES
Zn 65.41 Zn.upf
Dy 162.50 Dy.upf
Tb 158.93 Tb.upf
CELL_PARAMETERS angstrom
-2.316 -1.837 1.894
1.245 -6.206 -4.498
4.316 1.116 6.358
ATOMIC_POSITIONS crystal
Zn 0.500 0.000 0.667
Zn 0.500 0.333 0.333
Zn 0.500 0.333 0.000
Zn 0.500 0.667 0.000
Zn 0.500 0.667 0.667
Zn 0.500 0.000 0.333
Dy 0.000 0.000 0.000
Tb 0.000 0.333 0.667
Tb 0.000 0.667 0.333
```

The calculation puts the total energy at -24.94 eV per cell. Its crystal system is hexagonal. Its calculated volume is 183.4 Å³ per cell.

Among the records above, which one has the lowest calculated volume? TbDyZn

Among the records above, which one has the lowest calculated volume? TbDyZn